NdGa5Rh2 (PBE-GGA, relaxed); volume = 146.2 Å³/cell; energy of formation from the pure elements = -615 meV/atom
1.0
-0.432 2.367 3.251
-1.424 -3.812 5.102
5.045 -1.103 3.990
Nd Ga Rh
1 5 2
direct
0.000 0.000 0.000
0.000 0.500 0.500
0.646 0.551 0.157
0.354 0.449 0.843
0.354 0.843 0.449
0.646 0.157 0.551
0.764 0.736 0.736
0.236 0.264 0.264